(1)
Here is Re2HgTeH at its PBEsol-relaxed geometry from Alexandria. Energies are from SCAN.

* calculated total energy: -48.511 eV per atom
* density of states at the Fermi level: 3.91 states/eV per cell
* symmetry: P4/mmm

a b c (Å): 5.0089 5.0089 3.3364
angles (deg): 90.00 90.00 90.00
Closest atoms and distances in Å follow each position.
Fractional coordinates of all 5 atoms:
Re 0.0000 0.5000 0.0000  2 Te 2.50
Re 0.5000 0.0000 0.0000  2 Te 2.50
Hg 0.0000 0.0000 0.5000  8 Re 3.01, 2 Hg 3.34
Te 0.5000 0.5000 0.0000  2 H 1.67
H 0.5000 0.5000 0.5000  2 Te 1.67

***

(2)
Here is LaFeTc2 at its PBEsol-relaxed geometry from Alexandria. Energies are from SCAN.

* calculated total energy: -32.510 eV per atom
* density of states at the Fermi level: 3.16 states/eV per cell
* symmetry: P4/mmm
* formation enthalpy at 0 K: 328.4 meV per atom

a b c (Å): 3.0600 3.0600 7.2556
angles (deg): 90.00 90.00 90.00
Closest atoms and distances in Å follow each position.
Fractional coordinates of all 4 atoms:
La 0.0000 0.0000 0.0000  4 La 3.06, 8 Tc 3.22
Fe 0.0000 0.0000 0.5000  8 Tc 2.50
Tc 0.5000 0.5000 0.3281  1 Tc 2.49, 4 Fe 2.50
Tc 0.5000 0.5000 0.6719  1 Tc 2.49, 4 Fe 2.50

***

(3)
Here is ZrInRu2 at its PBEsol-relaxed geometry from Alexandria. Energies are from SCAN.

* calculated total energy: -33.882 eV per atom
* density of states at the Fermi level: 2.41 states/eV per cell
* symmetry: P4/mmm
* formation enthalpy at 0 K: -447.5 meV per atom

a b c (Å): 3.2258 3.2258 6.3227
angles (deg): 90.00 90.00 90.00
Closest atoms and distances in Å follow each position.
Fractional coordinates of all 4 atoms:
Zr 0.0000 0.0000 0.0000  8 Ru 2.77
In 0.0000 0.0000 0.5000  8 Ru 2.79
Ru 0.5000 0.5000 0.2472  4 Zr 2.77, 4 In 2.79
Ru 0.5000 0.5000 0.7528  4 Zr 2.77, 4 In 2.79

***

(4)
Here is Mn2CrSe3 at its PBEsol-relaxed geometry from Alexandria. Energies are from SCAN.

* calculated total energy: -19.984 eV per atom
* formation energy from raw total energies: -796 meV/atom
* density of states at the Fermi level: 1.64 states/eV per cell
* symmetry: Immm

a b c (Å): 6.4179 6.4179 6.4179
angles (deg): 146.44 131.61 60.17
Closest atoms and distances in Å follow each position.
Fractional coordinates of all 6 atoms:
Mn 0.1658 0.1658 0.0000  6 Se 2.61-2.65
Mn 0.8342 0.8342 0.0000  6 Se 2.61-2.65
Cr 0.5000 0.5000 0.0000  6 Se 2.59-2.63
Se 0.0000 0.5000 0.5000  4 Mn 2.61, 2 Cr 2.63
Se 0.3369 0.8369 0.5000  2 Cr 2.59, 4 Mn 2.63-2.65
Se 0.6631 0.1631 0.5000  2 Cr 2.59, 4 Mn 2.63-2.65

***

(5)
Here is SrCaAs2 at its PBEsol-relaxed geometry from Alexandria. Energies are from SCAN.

* calculated total energy: -19.049 eV per atom
* density of states at the Fermi level: 1.38 states/eV per cell
* symmetry: P4/mmm
* formation enthalpy at 0 K: -969.2 meV per atom

a b c (Å): 4.9294 4.9294 4.0426
angles (deg): 90.00 90.00 90.00
Closest atoms and distances in Å follow each position.
Fractional coordinates of all 4 atoms:
Sr 0.0000 0.0000 0.0000  8 As 3.19, 4 Ca 3.49
Ca 0.5000 0.5000 0.0000  8 As 3.19, 4 Sr 3.49
As 0.0000 0.5000 0.5000  4 Ca 3.19, 4 Sr 3.19, 4 As 3.49
As 0.5000 0.0000 0.5000  4 Ca 3.19, 4 Sr 3.19, 4 As 3.49

***

(6)
Here is HfGeCBr2 at its PBEsol-relaxed geometry from Alexandria. Energies are from SCAN.

* calculated total energy: -25.225 eV per atom
* formation energy from raw total energies: 931 meV/atom
* density of states at the Fermi level: 2.82 states/eV per cell
* symmetry: P4/mmm

a b c (Å): 4.6403 4.6403 4.5156
angles (deg): 90.00 90.00 90.00
Closest atoms and distances in Å follow each position.
Fractional coordinates of all 5 atoms:
Hf 0.0000 0.0000 0.0000  2 C 2.26
Ge 0.5000 0.5000 0.0000  8 Br 3.24, 4 Hf 3.28
C 0.0000 0.0000 0.5000  2 Hf 2.26, 4 Br 2.32
Br 0.0000 0.5000 0.5000  2 C 2.32
Br 0.5000 0.0000 0.5000  2 C 2.32

***

(7)
Here is LaY2Sc at its PBEsol-relaxed geometry from Alexandria. Energies are from SCAN.

* calculated total energy: -28.187 eV per atom
* density of states at the Fermi level: 4.76 states/eV per cell
* symmetry: Cm
* formation enthalpy at 0 K: 70.1 meV per atom

a b c (Å): 5.9835 5.9835 5.9622
angles (deg): 100.18 100.18 33.97
Closest atoms and distances in Å follow each position.
Fractional coordinates of all 4 atoms:
La 0.0000 0.0000 0.0000  3 Sc 3.39-3.52, 7 Y 3.41-3.49, 2 La 3.50
Y 0.5109 0.5109 0.5093  3 Sc 3.40-3.49, 4 La 3.43-3.49, 5 Y 3.43-3.51
Y 0.7553 0.7553 0.2509  3 La 3.41-3.49, 5 Y 3.43-3.51, 4 Sc 3.45-3.46
Sc 0.2565 0.2565 0.7530  3 La 3.39-3.52, 7 Y 3.40-3.49, 2 Sc 3.50

***

(8)
Here is NaNbPt3 at its PBEsol-relaxed geometry from Alexandria. Energies are from SCAN.

* calculated total energy: -49.063 eV per atom
* density of states at the Fermi level: 3.61 states/eV per cell
* symmetry: Pm-3m
* formation enthalpy at 0 K: 521.7 meV per atom

a b c (Å): 4.8692 4.8692 4.8692
angles (deg): 90.00 90.00 90.00
Closest atoms and distances in Å follow each position.
Fractional coordinates of all 5 atoms:
Na 0.0000 0.0000 0.0000  12 Pt 3.44
Nb 0.5000 0.5000 0.5000  6 Pt 2.43
Pt 0.0000 0.5000 0.5000  2 Nb 2.43
Pt 0.5000 0.0000 0.5000  2 Nb 2.43
Pt 0.5000 0.5000 0.0000  2 Nb 2.43

***

> Among the records above, which one has the lowest density of states at the Fermi level?

SrCaAs2